An optimized crystal structure of TbPr2PdPt2Pb3, computed with PBE-GGA.

Cell lengths 4.1182, 7.8155, 7.8155 Å; angles 119.69, 90.00, 90.00 degrees
With the nearest neighbours (Å) after each atom.
Positions (direct):
Pb: 0.5000 0.7437 0.9987  2 Pd 2.85, 2 Pt 2.93-3.02
Pb: 0.5000 0.2560 0.2560  2 Pd 2.91, 2 Pt 2.92
Pb: 0.5000 0.9987 0.7437  2 Pd 2.85, 2 Pt 2.93-3.02
Tb: 0.0000 0.5895 0.5895  4 Pt 3.08, 1 Pd 3.18, 2 Pb 3.33
Pr: 0.0000 0.0006 0.4122  4 Pt 3.16, 1 Pd 3.24, 6 Pb 3.32-3.51
Pr: 0.0000 0.4122 0.0006  4 Pt 3.16, 1 Pd 3.24, 6 Pb 3.32-3.51
Pt: 0.5000 0.6645 0.3403  3 Pb 2.92-3.02, 2 Tb 3.08, 4 Pr 3.16
Pt: 0.5000 0.3403 0.6645  3 Pb 2.92-3.02, 2 Tb 3.08, 4 Pr 3.16
Pd: 0.0000 0.9946 0.9946  6 Pb 2.85-2.91, 1 Tb 3.18

Summary:
Total energy: -5.54 eV/atom